Li5Ag3Bi12: relaxed, PBE.

The value obtained for the total DFT energy (no corrections) is -63.2 eV per formula unit. The formation energy comes out at 7.3 kJ/mol of atoms.

It has space group Ia-3d (No. 230), with a = 16.9618 Å, b = 16.9618 Å, c = 16.9618 Å, α = 90.00°, β = 90.00° and γ = 90.00°. Symmetry generates all atoms from Li at (0.0000, 0.0000, 0.0000), Li at (0.0000, 0.2500, 0.3750), Ag at (0.0000, 0.2500, 0.1250) and Bi at (0.0208, 0.0836, 0.6510).


Hg4W: relaxed, PBE.

For the energy above the most stable polymorph in this dataset, the calculation gives 0.48 eV per formula unit. The value obtained for the total DFT energy (no corrections) is -9.5 eV per formula unit. The formation energy comes out at 89.5 kJ/mol of atoms.

It has space group Pm-3m (No. 221), with a = 5.4953 Å, b = 5.4953 Å, c = 5.4953 Å, α = 90.00°, β = 90.00° and γ = 90.00°. Symmetry generates all atoms from Hg at (0.0000, 0.0000, 0.0000), Hg at (0.0000, 0.5000, 0.5000) and W at (0.5000, 0.5000, 0.5000).


Pu3Be2Ru5: relaxed, PBE.

The value obtained for the total DFT energy (no corrections) is -99.2 eV per formula unit. The formation energy comes out at -23.1 kJ/mol of atoms.

It has space group P4/mbm (No. 127), with a = 9.7763 Å, b = 9.7763 Å, c = 3.3014 Å, α = 90.00°, β = 90.00° and γ = 90.00°. Symmetry generates all atoms from Pu at (0.0000, 0.0000, 0.0000), Pu at (0.1740, 0.3260, 0.0000), Be at (0.1204, 0.6204, 0.0000), Ru at (0.0000, 0.5000, 0.5000) and Ru at (0.0714, 0.7862, 0.5000).


ReAg2As: relaxed, PBE.

The value obtained for the total DFT energy (no corrections) is -20.1 eV per formula unit. The formation energy comes out at 65.1 kJ/mol of atoms.

It has space group F222 (No. 22), with a = 6.4044 Å, b = 6.4161 Å, c = 6.4329 Å, α = 90.00°, β = 90.00° and γ = 90.00°. Symmetry generates all atoms from Re at (0.0000, 0.0000, 0.0000), Ag at (0.0000, 0.0000, 0.5000), Ag at (0.2500, 0.2500, 0.7500) and As at (0.2500, 0.2500, 0.2500).


TcSbTe2: relaxed, PBE.

The value obtained for the total DFT energy (no corrections) is -19.0 eV per formula unit. The raw formation energy comes out at 0.445 eV/atom.

It has space group Cmmm (No. 65), with a = 3.3797 Å, b = 5.3806 Å, c = 10.7505 Å, α = 90.00°, β = 90.00° and γ = 90.00°. Symmetry generates all atoms from Tc at (0.0000, 0.0000, 0.0000), Sb at (0.0000, 0.0000, 0.5000) and Te at (0.0000, 0.5000, 0.1984).


Ce6Tl2Bi: relaxed, PBE.

The value obtained for the total DFT energy (no corrections) is -45.4 eV per formula unit. The formation energy comes out at -13.0 kJ/mol of atoms.

It has space group P6/mmm (No. 191), with a = 9.1612 Å, b = 9.1612 Å, c = 3.2747 Å, α = 90.00°, β = 90.00° and γ = 120.00°. Symmetry generates all atoms from Ce at (0.0000, 0.3384, 0.0000), Tl at (0.3333, 0.6667, 0.5000) and Bi at (0.0000, 0.0000, 0.5000).


BaCrBr2: relaxed, PBE.

For the energy above the most stable polymorph in this dataset, the calculation gives 0.60 eV per formula unit. The value obtained for the total DFT energy (no corrections) is -17.5 eV per formula unit. The raw formation energy comes out at -0.647 eV/atom.

It has space group I-4m2 (No. 119), with a = 4.6441 Å, b = 4.6441 Å, c = 11.6370 Å, α = 90.00°, β = 90.00° and γ = 90.00°. Symmetry generates all atoms from Ba at (0.0000, 0.0000, 0.0000), Cr at (0.0000, 0.5000, 0.2500), Br at (0.0000, 0.0000, 0.5000) and Br at (0.0000, 0.5000, 0.7500).


LiHgMo3: relaxed, PBE.

For the energy above the most stable polymorph in this dataset, the calculation gives 0.00 eV per formula unit. The value obtained for the total DFT energy (no corrections) is -28.4 eV per formula unit. The formation energy comes out at 121.8 kJ/mol of atoms.

It has space group Pm-3m (No. 221), with a = 4.2938 Å, b = 4.2938 Å, c = 4.2938 Å, α = 90.00°, β = 90.00° and γ = 90.00°. Symmetry generates all atoms from Li at (0.0000, 0.0000, 0.0000), Hg at (0.5000, 0.5000, 0.5000) and Mo at (0.0000, 0.0000, 0.5000).


KZr2O4: relaxed, PBE.

For the energy above the most stable polymorph in this dataset, the calculation gives 0.00 eV per formula unit. The value obtained for the total DFT energy (no corrections) is -57.6 eV per formula unit. The raw formation energy comes out at -2.802 eV/atom.

It has space group Cmcm (No. 63), with a = 3.2872 Å, b = 10.7638 Å, c = 11.0037 Å, α = 90.00°, β = 90.00° and γ = 90.00°. Symmetry generates all atoms from K at (0.0000, 0.1168, 0.2500), Zr at (0.0000, 0.3710, 0.0682), O at (0.0000, 0.0000, 0.0000), O at (0.0000, 0.2602, 0.5966) and O at (0.0000, 0.4194, 0.2500).


Pr4SmErSe8: relaxed, PBE.

The value obtained for the total DFT energy (no corrections) is -80.4 eV per formula unit. The raw formation energy comes out at -1.722 eV/atom.

It has space group R3m (No. 160, hexagonal axes), with a = 8.6821 Å, b = 8.6821 Å, c = 21.2151 Å, α = 90.00°, β = 90.00° and γ = 120.00°. Symmetry generates all atoms from Pr at (0.0000, 0.0000, 0.0000), Pr at (0.0064, 0.5032, 0.1251), Sm at (0.0000, 0.0000, 0.6222), Er at (0.0000, 0.0000, 0.2490), Se at (0.0000, 0.0000, 0.3762), Se at (0.0000, 0.0000, 0.8664), Se at (0.0263, 0.5132, 0.3757) and Se at (0.1715, 0.3430, 0.2087).


ZrCuPt2: relaxed, PBE.

The value obtained for the total DFT energy (no corrections) is -26.1 eV per formula unit. The formation energy comes out at -32.3 kJ/mol of atoms.

It has space group P4mm (No. 99), with a = 2.9294 Å, b = 2.9294 Å, c = 7.5644 Å, α = 90.00°, β = 90.00° and γ = 90.00°. Symmetry generates all atoms from Zr at (0.0000, 0.0000, 0.0000), Cu at (0.5000, 0.5000, 0.2536), Pt at (0.0000, 0.0000, 0.4675) and Pt at (0.5000, 0.5000, 0.7333).


MnI2Cl: relaxed, PBE.

For the energy above the most stable polymorph in this dataset, the calculation gives 0.00 eV per formula unit. The value obtained for the total DFT energy (no corrections) is -16.1 eV per formula unit. The raw formation energy comes out at -0.491 eV/atom.

It has space group Pnna (No. 52), with a = 7.0268 Å, b = 6.4545 Å, c = 11.2732 Å, α = 90.00°, β = 90.00° and γ = 90.00°. Symmetry generates all atoms from Mn at (0.2500, 0.0000, 0.1020), I at (0.0727, 0.2303, 0.9204) and Cl at (0.1365, 0.2500, 0.2500).


Ag2TeI: relaxed, PBE.

For the energy above the most stable polymorph in this dataset, the calculation gives 0.00 eV per formula unit. The value obtained for the total DFT energy (no corrections) is -10.9 eV per formula unit. The raw formation energy comes out at -0.129 eV/atom.

It has space group P-1 (No. 2), with a = 4.7077 Å, b = 6.7038 Å, c = 8.1199 Å, α = 82.04°, β = 87.84° and γ = 75.95°. Symmetry generates all atoms from Ag at (0.0829, 0.3492, 0.2854), Ag at (0.3403, 0.9443, 0.1568), Te at (0.3964, 0.6931, 0.8964) and I at (0.1064, 0.2154, 0.6424).


Mg2AsRu: relaxed, PBE.

The value obtained for the total DFT energy (no corrections) is -17.2 eV per formula unit. The formation energy comes out at -1.6 kJ/mol of atoms.

It has space group F-43m (No. 216), with a = 6.3923 Å, b = 6.3923 Å, c = 6.3923 Å, α = 90.00°, β = 90.00° and γ = 90.00°. Symmetry generates all atoms from Mg at (0.0000, 0.0000, 0.0000), Mg at (0.2500, 0.2500, 0.2500), As at (0.2500, 0.2500, 0.7500) and Ru at (0.0000, 0.0000, 0.5000).


Gd2LuBi: relaxed, PBE.

For the energy above the most stable polymorph in this dataset, the calculation gives 0.11 eV per formula unit. The value obtained for the total DFT energy (no corrections) is -38.0 eV per formula unit. The formation energy comes out at -35.3 kJ/mol of atoms.

It has space group P4/mmm (No. 123), with a = 4.9024 Å, b = 4.9024 Å, c = 4.8664 Å, α = 90.00°, β = 90.00° and γ = 90.00°. Symmetry generates all atoms from Gd at (0.0000, 0.5000, 0.0000), Lu at (0.0000, 0.0000, 0.5000) and Bi at (0.5000, 0.5000, 0.5000).


HoHF: relaxed, PBE.

For the energy above the most stable polymorph in this dataset, the calculation gives 0.00 eV per formula unit. The value obtained for the total DFT energy (no corrections) is -15.6 eV per formula unit.

It has space group R-3m (No. 166, hexagonal axes), with a = 3.6791 Å, b = 3.6791 Å, c = 21.4729 Å, α = 90.00°, β = 90.00° and γ = 120.00°. Symmetry generates all atoms from Ho at (0.0000, 0.0000, 0.0837), H at (0.0000, 0.0000, 0.4118) and F at (0.0000, 0.0000, 0.2004).


TbAl2Cu: relaxed, PBE.

The value obtained for the total DFT energy (no corrections) is -16.0 eV per formula unit. The formation energy comes out at 4.4 kJ/mol of atoms.

It has space group R-3m (No. 166, hexagonal axes), with a = 3.1035 Å, b = 3.1035 Å, c = 27.6053 Å, α = 90.00°, β = 90.00° and γ = 120.00°. Symmetry generates all atoms from Tb at (0.0000, 0.0000, 0.0000), Al at (0.0000, 0.0000, 0.2359) and Cu at (0.0000, 0.0000, 0.5000).


DySn2Sb: relaxed, PBE.

For the energy above the most stable polymorph in this dataset, the calculation gives 0.00 eV per formula unit. The value obtained for the total DFT energy (no corrections) is -18.4 eV per formula unit. The raw formation energy comes out at -0.412 eV/atom.

It has space group P4/mmm (No. 123), with a = 4.5422 Å, b = 4.5422 Å, c = 5.1623 Å, α = 90.00°, β = 90.00° and γ = 90.00°. Symmetry generates all atoms from Dy at (0.0000, 0.0000, 0.0000), Sn at (0.0000, 0.5000, 0.5000) and Sb at (0.5000, 0.5000, 0.0000).


Tb2Al3Zn4Ga: relaxed, PBE.

The value obtained for the total DFT energy (no corrections) is -32.4 eV per formula unit. The formation energy comes out at -37.0 kJ/mol of atoms.

It has space group P-4m2 (No. 115), with a = 4.1737 Å, b = 4.1737 Å, c = 10.6988 Å, α = 90.00°, β = 90.00° and γ = 90.00°. Symmetry generates all atoms from Tb at (0.0000, 0.5000, 0.2485), Al at (0.0000, 0.5000, 0.8652), Al at (0.5000, 0.5000, 0.5000), Zn at (0.0000, 0.0000, 0.0000), Zn at (0.0000, 0.5000, 0.6397), Zn at (0.5000, 0.5000, 0.0000) and Ga at (0.0000, 0.0000, 0.5000).


DyTm2CdC: relaxed, PBE.

The value obtained for the total DFT energy (no corrections) is -25.4 eV per formula unit. The formation energy comes out at -32.4 kJ/mol of atoms.

It has space group P4/mmm (No. 123), with a = 4.8280 Å, b = 4.8280 Å, c = 4.9735 Å, α = 90.00°, β = 90.00° and γ = 90.00°. Symmetry generates all atoms from Dy at (0.0000, 0.0000, 0.0000), Tm at (0.0000, 0.5000, 0.5000), Cd at (0.5000, 0.5000, 0.0000) and C at (0.0000, 0.0000, 0.5000).